# 1
{"formula": "TmAu", "functional": "SCAN", "state": "PBEsol geometry", "lattice": [[3.494, 0.000, 0.000], [0.000, 3.494, 0.000], [0.000, 0.000, 3.494]], "species": ["Tm", "Au"], "fractional_positions": [[0.000, 0.000, 0.000], [0.500, 0.500, 0.500]], "delta_e_f_mev_per_atom": -1139, "magnetic_moment_mub_per_fu": 0.0}

# 2
{"formula": "Mn2HgSb", "functional": "SCAN", "state": "PBEsol geometry", "lattice": [[3.027, 0.000, 0.000], [0.000, 3.027, 0.000], [0.000, 0.000, 7.818]], "species": ["Mn", "Mn", "Hg", "Sb"], "fractional_positions": [[0.000, 0.000, 0.000], [0.500, 0.500, 0.155], [0.500, 0.500, 0.763], [0.000, 0.000, 0.394]], "e_above_lowest_polymorph_mev_per_atom": 0.0, "raw_formation_energy_ev_per_atom": 0.05, "magnetic_moment_mub_per_fu": 0.3}

# 3
{"formula": "ZnReIr", "functional": "SCAN", "state": "PBEsol geometry", "lattice": [[0.000, 2.319, 6.737], [1.379, 0.000, 6.737], [1.379, 2.319, 0.000]], "species": ["Zn", "Re", "Ir"], "fractional_positions": [[0.000, 0.000, 0.000], [0.669, 0.669, 0.331], [0.335, 0.335, 0.665]], "delta_e_f_mev_per_atom": 181, "e_above_lowest_polymorph_mev_per_atom": 280.3, "magnetic_moment_mub_per_fu": 0.0}

# 4
{"formula": "SrMgAl2", "functional": "SCAN", "state": "PBEsol geometry", "lattice": [[1.698, 0.980, 9.902], [-1.698, 0.980, 9.902], [0.000, -1.960, 9.902]], "species": ["Sr", "Mg", "Al", "Al"], "fractional_positions": [[0.000, 0.000, 0.000], [0.500, 0.500, 0.500], [0.242, 0.242, 0.242], [0.758, 0.758, 0.758]], "delta_e_f_mev_per_atom": 263, "magnetic_moment_mub_per_fu": 0.0}

- Number 1 is which compound?
  TmAu

Copy entry 4 word for word.
{"formula": "SrMgAl2", "functional": "SCAN", "state": "PBEsol geometry", "lattice": [[1.698, 0.980, 9.902], [-1.698, 0.980, 9.902], [0.000, -1.960, 9.902]], "species": ["Sr", "Mg", "Al", "Al"], "fractional_positions": [[0.000, 0.000, 0.000], [0.500, 0.500, 0.500], [0.242, 0.242, 0.242], [0.758, 0.758, 0.758]], "delta_e_f_mev_per_atom": 263, "magnetic_moment_mub_per_fu": 0.0}

Please write out number 2 again, unchanged.
{"formula": "Mn2HgSb", "functional": "SCAN", "state": "PBEsol geometry", "lattice": [[3.027, 0.000, 0.000], [0.000, 3.027, 0.000], [0.000, 0.000, 7.818]], "species": ["Mn", "Mn", "Hg", "Sb"], "fractional_positions": [[0.000, 0.000, 0.000], [0.500, 0.500, 0.155], [0.500, 0.500, 0.763], [0.000, 0.000, 0.394]], "e_above_lowest_polymorph_mev_per_atom": 0.0, "raw_formation_energy_ev_per_atom": 0.05, "magnetic_moment_mub_per_fu": 0.3}